Entry 1:
# LaTeRh3 | Alexandria via LeMat-Bulk | PBE | relaxed
data_LaTeRh3
_chemical_formula_sum 'La1 Te1 Rh3'
_cell_length_a 4.8823
_cell_length_b 4.8823
_cell_length_c 4.8823
_cell_angle_alpha 90.00
_cell_angle_beta 90.00
_cell_angle_gamma 90.00
_symmetry_space_group_name_H-M 'P m -3 m'
_symmetry_Int_Tables_number 221
_symmetry_space_group_name_Hall '-P 4 2 3'
loop_
_atom_site_label
_atom_site_type_symbol
_atom_site_fract_x
_atom_site_fract_y
_atom_site_fract_z
_atom_site_occupancy
La1 La 0.0000 0.0000 0.0000 1
Te1 Te 0.5000 0.5000 0.5000 1
Rh1 Rh 0.0000 0.5000 0.5000 1
# - offset from the most stable computed form (meV per atom) = 0
# - D(E_F) (states/eV/f.u.) = 9.7
# - total magnetic moment (μB per cell) = 0.0
# - formation energy without anion corrections (eV/atom) = -0.0502

***

Entry 2:
# ZrSbIr3 | Alexandria via LeMat-Bulk | PBE | relaxed
data_ZrSbIr3
_chemical_formula_sum 'Zr1 Sb1 Ir3'
_cell_length_a 4.7970
_cell_length_b 4.7970
_cell_length_c 4.7970
_cell_angle_alpha 90.00
_cell_angle_beta 90.00
_cell_angle_gamma 90.00
_symmetry_space_group_name_H-M 'P m -3 m'
_symmetry_Int_Tables_number 221
_symmetry_space_group_name_Hall '-P 4 2 3'
loop_
_atom_site_label
_atom_site_type_symbol
_atom_site_fract_x
_atom_site_fract_y
_atom_site_fract_z
_atom_site_occupancy
Zr1 Zr 0.0000 0.0000 0.0000 1
Sb1 Sb 0.5000 0.5000 0.5000 1
Ir1 Ir 0.0000 0.5000 0.5000 1
# - offset from the most stable computed form (meV per atom) = 0
# - D(E_F) (states/eV/f.u.) = 12.1
# - total magnetic moment (μB per cell) = 0.0
# - formation energy without anion corrections (eV/atom) = 1.1211

***

Entry 3:
# CrGaCl4 | Alexandria via LeMat-Bulk | PBE | relaxed
data_CrGaCl4
_chemical_formula_sum 'Cr2 Ga2 Cl8'
_cell_length_a 12.2988
_cell_length_b 3.5910
_cell_length_c 7.5334
_cell_angle_alpha 90.00
_cell_angle_beta 104.40
_cell_angle_gamma 90.00
_symmetry_space_group_name_H-M 'C 1 2/m 1'
_symmetry_Int_Tables_number 12
loop_
_symmetry_equiv_pos_as_xyz
'x,y,z'
'-x,-y,-z'
'-x,y,-z'
'x,-y,z'
'x+1/2,y+1/2,z'
'-x+1/2,-y+1/2,-z'
'-x+1/2,y+1/2,-z'
'x+1/2,-y+1/2,z'
loop_
_atom_site_label
_atom_site_type_symbol
_atom_site_fract_x
_atom_site_fract_y
_atom_site_fract_z
_atom_site_occupancy
Cr1 Cr 0.0000 0.0000 0.0000 1
Ga1 Ga 0.0000 0.5000 0.5000 1
Cl1 Cl 0.1090 0.5000 0.9204 1
Cl2 Cl 0.1162 0.0000 0.2958 1
# - total magnetic moment (μB per cell) = 6.0
# - formation energy without anion corrections (eV/atom) = -0.9253

***

Entry 4:
# BiSeBr2 | Alexandria via LeMat-Bulk | PBE | relaxed
data_BiSeBr2
_chemical_formula_sum 'Bi4 Se4 Br8'
_cell_length_a 10.3794
_cell_length_b 10.3794
_cell_length_c 5.6981
_cell_angle_alpha 90.00
_cell_angle_beta 90.00
_cell_angle_gamma 90.00
_symmetry_space_group_name_H-M 'I -4 2 d'
_symmetry_Int_Tables_number 122
_symmetry_space_group_name_Hall 'I -4 2bw'
loop_
_atom_site_label
_atom_site_type_symbol
_atom_site_fract_x
_atom_site_fract_y
_atom_site_fract_z
_atom_site_occupancy
Bi1 Bi 0.0000 0.0000 0.0000 1
Se1 Se 0.0000 0.0000 0.5000 1
Br1 Br 0.1139 0.2500 0.1250 1
# - offset from the most stable computed form (meV per atom) = 138
# - D(E_F) (states/eV/f.u.) = 5.2
# - total magnetic moment (μB per cell) = 4.0
# - formation energy without anion corrections (eV/atom) = -0.1479

***

Entry 5:
# Cs2LiCdI5 | Alexandria via LeMat-Bulk | PBE | relaxed
data_Cs2LiCdI5
_chemical_formula_sum 'Cs8 Li4 Cd4 I20'
_cell_length_a 4.7888
_cell_length_b 22.5438
_cell_length_c 15.4821
_cell_angle_alpha 90.00
_cell_angle_beta 90.00
_cell_angle_gamma 90.00
_symmetry_space_group_name_H-M 'C m c 21'
_symmetry_Int_Tables_number 36
loop_
_symmetry_equiv_pos_as_xyz
'x,y,z'
'-x,-y,z+1/2'
'-x,y,z'
'x,-y,z+1/2'
'x+1/2,y+1/2,z'
'-x+1/2,-y+1/2,z+1/2'
'-x+1/2,y+1/2,z'
'x+1/2,-y+1/2,z+1/2'
loop_
_atom_site_label
_atom_site_type_symbol
_atom_site_fract_x
_atom_site_fract_y
_atom_site_fract_z
_atom_site_occupancy
Cs1 Cs 0.0000 0.1203 0.0000 1
Cs2 Cs 0.0000 0.1274 0.6127 1
Li1 Li 0.0000 0.4212 0.7400 1
Cd1 Cd 0.0000 0.2091 0.3236 1
I1 I 0.0000 0.0780 0.3347 1
I2 I 0.0000 0.2891 0.9534 1
I3 I 0.0000 0.3027 0.6828 1
I4 I 0.0000 0.3366 0.3075 1
I5 I 0.0000 0.4942 0.6001 1
# - D(E_F) (states/eV/f.u.) = 0.0
# - total magnetic moment (μB per cell) = 0.0
# - formation energy without anion corrections (eV/atom) = -1.1437

***

Entry 6:
# DyFe3Ge3 | Alexandria via LeMat-Bulk | PBE | relaxed
data_DyFe3Ge3
_chemical_formula_sum 'Dy2 Fe6 Ge6'
_cell_length_a 8.1524
_cell_length_b 8.1524
_cell_length_c 4.0480
_cell_angle_alpha 90.00
_cell_angle_beta 90.00
_cell_angle_gamma 120.00
_symmetry_space_group_name_H-M 'P 63/m'
_symmetry_Int_Tables_number 176
_symmetry_space_group_name_Hall '-P 6c'
loop_
_atom_site_label
_atom_site_type_symbol
_atom_site_fract_x
_atom_site_fract_y
_atom_site_fract_z
_atom_site_occupancy
Dy1 Dy 0.3333 0.6667 0.2500 1
Fe1 Fe 0.0563 0.2000 0.2500 1
Ge1 Ge 0.0951 0.3841 0.7500 1
# - offset from the most stable computed form (meV per atom) = 0
# - D(E_F) (states/eV/f.u.) = 4.7
# - DFT formation energy (eV per atom) = -0.255
# - total magnetic moment (μB per cell) = 6.6